Version i
Here is an optimized crystal structure of KCuBi2 from Alexandria via LeMat-Bulk. Energies are from PBE.

- space group = I-42d (122)
- total magnetic moment (μB/f.u.) = 0.00
- DOS(E_F) (states/eV per atom) = 0.1422
- calculated volume (Å³ per cell) = 290.9

The structure in POSCAR format:
```
KCuBi2
1.0
-2.831 2.831 9.076
2.831 -2.831 9.076
2.831 2.831 -9.076
K Cu Bi
2 2 4
direct
0.000 0.000 0.000 K
0.750 0.250 0.500 K
0.250 0.750 0.500 Cu
0.500 0.500 0.000 Cu
0.252 0.625 0.127 Bi
0.375 0.502 0.627 Bi
0.498 0.125 0.873 Bi
0.875 0.748 0.373 Bi
```

Version ii
Here is an optimized crystal structure of KCuBi2 from Alexandria via LeMat-Bulk. Energies are from PBE.

- space group = Fm-3m (225)
- total magnetic moment (μB/f.u.) = 0.00
- DOS(E_F) (states/eV per atom) = 0.5236
- calculated volume (Å³ per cell) = 109.0

The structure in POSCAR format:
```
KCuBi2
1.0
0.000 3.792 3.792
3.792 0.000 3.792
3.792 3.792 0.000
K Cu Bi
1 1 2
direct
0.000 0.000 0.000 K
0.500 0.500 0.500 Cu
0.250 0.250 0.250 Bi
0.750 0.750 0.750 Bi
```

Version iii
Here is an optimized crystal structure of KCuBi2 from Alexandria via LeMat-Bulk. Energies are from PBE.

- space group = R-3m (166)
- total magnetic moment (μB/f.u.) = 0.00
- DOS(E_F) (states/eV per atom) = 0.3075
- calculated volume (Å³ per cell) = 131.3

The structure in POSCAR format:
```
KCuBi2
1.0
2.193 1.266 7.884
-2.193 1.266 7.884
0.000 -2.532 7.884
K Cu Bi
1 1 2
direct
0.000 0.000 0.000 K
0.500 0.500 0.500 Cu
0.216 0.216 0.216 Bi
0.784 0.784 0.784 Bi
```

Which of them is the most stable, and which is the least stable? version iii and version ii, in that order.

Version i
Here is an optimized crystal structure of LiCu2Bi2 from Alexandria via LeMat-Bulk. Energies are from PBE.

- space group = I4/mmm (139)
- total magnetic moment (μB/f.u.) = 0.00
- DOS(E_F) (states/eV per atom) = 0.2996
- calculated volume (Å³ per cell) = 106.3

The structure in POSCAR format:
```
LiCu2Bi2
1.0
-1.774 1.774 8.449
1.774 -1.774 8.449
1.774 1.774 -8.449
Li Cu Bi
1 2 2
direct
0.000 0.000 0.000 Li
0.250 0.750 0.500 Cu
0.750 0.250 0.500 Cu
0.382 0.382 0.000 Bi
0.618 0.618 0.000 Bi
```

Version ii
Here is an optimized crystal structure of LiCu2Bi2 from Alexandria via LeMat-Bulk. Energies are from PBE.

- space group = P4/mbm (127)
- total magnetic moment (μB/f.u.) = 0.00
- DOS(E_F) (states/eV per atom) = 0.3057
- calculated volume (Å³ per cell) = 216.6

The structure in POSCAR format:
```
LiCu2Bi2
1.0
7.953 0.000 0.000
0.000 7.953 0.000
0.000 0.000 3.424
Li Cu Bi
2 4 4
direct
0.000 0.000 0.000 Li
0.500 0.500 0.000 Li
0.115 0.385 0.500 Cu
0.385 0.885 0.500 Cu
0.615 0.115 0.500 Cu
0.885 0.615 0.500 Cu
0.176 0.676 0.000 Bi
0.324 0.176 0.000 Bi
0.676 0.824 0.000 Bi
0.824 0.324 0.000 Bi
```

Version iii
Here is an optimized crystal structure of LiCu2Bi2 from Alexandria via LeMat-Bulk. Energies are from PBE.

- space group = P4/mbm (127)
- total magnetic moment (μB/f.u.) = 0.00
- DOS(E_F) (states/eV per atom) = 0.3477
- calculated volume (Å³ per cell) = 206.3

The structure in POSCAR format:
```
LiCu2Bi2
1.0
7.262 0.000 0.000
0.000 7.262 0.000
0.000 0.000 3.912
Li Cu Bi
2 4 4
direct
0.000 0.000 0.000 Li
0.500 0.500 0.000 Li
0.121 0.379 0.000 Cu
0.379 0.879 0.000 Cu
0.621 0.121 0.000 Cu
0.879 0.621 0.000 Cu
0.181 0.681 0.500 Bi
0.319 0.181 0.500 Bi
0.681 0.819 0.500 Bi
0.819 0.319 0.500 Bi
```

Which of them is the most stable, and which is the least stable? version i and version ii, in that order.

Version i
Here is an optimized crystal structure of MgCu2Bi2 from Alexandria via LeMat-Bulk. Energies are from PBE.

- space group = P4/mbm (127)
- total magnetic moment (μB/f.u.) = 0.00
- DOS(E_F) (states/eV per atom) = 0.5303
- calculated volume (Å³ per cell) = 227.0

The structure in POSCAR format:
```
MgCu2Bi2
1.0
8.086 0.000 0.000
0.000 8.086 0.000
0.000 0.000 3.471
Mg Cu Bi
2 4 4
direct
0.000 0.000 0.000 Mg
0.500 0.500 0.000 Mg
0.111 0.389 0.500 Cu
0.389 0.889 0.500 Cu
0.611 0.111 0.500 Cu
0.889 0.611 0.500 Cu
0.178 0.678 0.000 Bi
0.322 0.178 0.000 Bi
0.678 0.822 0.000 Bi
0.822 0.322 0.000 Bi
```

Version ii
Here is an optimized crystal structure of MgCu2Bi2 from Alexandria via LeMat-Bulk. Energies are from PBE.

- space group = P4/mbm (127)
- total magnetic moment (μB/f.u.) = 0.00
- DOS(E_F) (states/eV per atom) = 0.4494
- calculated volume (Å³ per cell) = 213.5

The structure in POSCAR format:
```
MgCu2Bi2
1.0
7.285 0.000 0.000
0.000 7.285 0.000
0.000 0.000 4.023
Mg Cu Bi
2 4 4
direct
0.000 0.000 0.000 Mg
0.500 0.500 0.000 Mg
0.122 0.378 0.000 Cu
0.378 0.878 0.000 Cu
0.622 0.122 0.000 Cu
0.878 0.622 0.000 Cu
0.179 0.679 0.500 Bi
0.321 0.179 0.500 Bi
0.679 0.821 0.500 Bi
0.821 0.321 0.500 Bi
```

Version iii
Here is an optimized crystal structure of MgCu2Bi2 from Alexandria via LeMat-Bulk. Energies are from PBE.

- space group = I4/mmm (139)
- total magnetic moment (μB/f.u.) = 0.00
- DOS(E_F) (states/eV per atom) = 0.3057
- calculated volume (Å³ per cell) = 111.8

The structure in POSCAR format:
```
MgCu2Bi2
1.0
-1.803 1.803 8.596
1.803 -1.803 8.596
1.803 1.803 -8.596
Mg Cu Bi
1 2 2
direct
0.000 0.000 0.000 Mg
0.250 0.750 0.500 Cu
0.750 0.250 0.500 Cu
0.380 0.380 0.000 Bi
0.620 0.620 0.000 Bi
```

Which of them is the most stable, and which is the least stable? version iii and version i, in that order.

Version i
Here is an optimized crystal structure of Mn3CuBi from Alexandria via LeMat-Bulk. Energies are from PBE.

- space group = Pm-3m (221)
- total magnetic moment (μB/f.u.) = 11.72
- DOS(E_F) (states/eV per atom) = 0.5083
- calculated volume (Å³ per cell) = 98.8

The structure in POSCAR format:
```
Mn3CuBi
1.0
4.623 0.000 0.000
0.000 4.623 0.000
0.000 0.000 4.623
Mn Cu Bi
3 1 1
direct
0.000 0.000 0.500 Mn
0.000 0.500 0.000 Mn
0.500 0.000 0.000 Mn
0.000 0.000 0.000 Cu
0.500 0.500 0.500 Bi
```

Version ii
Here is an optimized crystal structure of Mn3CuBi from Alexandria via LeMat-Bulk. Energies are from PBE.

- space group = Pm-3m (221)
- total magnetic moment (μB/f.u.) = 11.88
- DOS(E_F) (states/eV per atom) = 1.9852
- calculated volume (Å³ per cell) = 133.6

The structure in POSCAR format:
```
Mn3CuBi
1.0
5.112 0.000 0.000
0.000 5.112 0.000
0.000 0.000 5.112
Mn Cu Bi
3 1 1
direct
0.000 0.000 0.500 Mn
0.000 0.500 0.000 Mn
0.500 0.000 0.000 Mn
0.500 0.500 0.500 Cu
0.000 0.000 0.000 Bi
```

Which of them is the most stable, and which is the least stable? version i and version ii, in that order.

Version i
Here is an optimized crystal structure of MnCuBi2 from Alexandria via LeMat-Bulk. Energies are from PBE.

- space group = Fm-3m (225)
- total magnetic moment (μB/f.u.) = 0.00
- DOS(E_F) (states/eV per atom) = 1.9788
- calculated volume (Å³ per cell) = 79.8

The structure in POSCAR format:
```
MnCuBi2
1.0
0.000 3.417 3.417
3.417 0.000 3.417
3.417 3.417 0.000
Mn Cu Bi
1 1 2
direct
0.000 0.000 0.000 Mn
0.500 0.500 0.500 Cu
0.250 0.250 0.250 Bi
0.750 0.750 0.750 Bi
```

Version ii
Here is an optimized crystal structure of MnCuBi2 from Alexandria via LeMat-Bulk. Energies are from PBE.

- space group = I-42d (122)
- total magnetic moment (μB/f.u.) = 3.93
- DOS(E_F) (states/eV per atom) = 0.6312
- calculated volume (Å³ per cell) = 190.9

The structure in POSCAR format:
```
MnCuBi2
1.0
-3.817 3.817 3.275
3.817 -3.817 3.275
3.817 3.817 -3.275
Mn Cu Bi
2 2 4
direct
0.000 0.000 0.000 Mn
0.750 0.250 0.500 Mn
0.250 0.750 0.500 Cu
0.500 0.500 0.000 Cu
0.144 0.625 0.019 Bi
0.375 0.394 0.519 Bi
0.606 0.125 0.981 Bi
0.875 0.856 0.481 Bi
```

Which of them is the most stable, and which is the least stable? version ii and version i, in that order.

Version i
Here is an optimized crystal structure of MnV2CuBi from Alexandria via LeMat-Bulk. Energies are from PBE.

- space group = P4/mmm (123)
- total magnetic moment (μB/f.u.) = 2.41
- DOS(E_F) (states/eV per atom) = 0.9461
- calculated volume (Å³ per cell) = 94.9

The structure in POSCAR format:
```
MnV2CuBi
1.0
4.384 0.000 0.000
0.000 4.384 0.000
0.000 0.000 4.939
Mn V Cu Bi
1 2 1 1
direct
0.000 0.000 0.000 Mn
0.000 0.500 0.000 V
0.500 0.000 0.000 V
0.500 0.500 0.500 Cu
0.000 0.000 0.500 Bi
```

Version ii
Here is an optimized crystal structure of MnV2CuBi from Alexandria via LeMat-Bulk. Energies are from PBE.

- space group = P4/mmm (123)
- total magnetic moment (μB/f.u.) = 0.00
- DOS(E_F) (states/eV per atom) = 1.4290
- calculated volume (Å³ per cell) = 87.3

The structure in POSCAR format:
```
MnV2CuBi
1.0
4.293 0.000 0.000
0.000 4.293 0.000
0.000 0.000 4.738
Mn V Cu Bi
1 2 1 1
direct
0.000 0.000 0.000 Mn
0.000 0.500 0.000 V
0.500 0.000 0.000 V
0.000 0.000 0.500 Cu
0.500 0.500 0.500 Bi
```

Which of them is the most stable, and which is the least stable? version ii and version i, in that order.